# 1
Nd2NiRu after structural relaxation. Source: the Alexandria database, functional PBE-GGA.

a b c (Å): 5.8202 4.0915 8.1451
angles (deg): 90.00 110.42 90.00
Space group P2_1/m (No. 11)
Inequivalent atoms, fractional coordinates:
Nd1 0.2138 0.2500 0.4242 x2
Nd2 0.2142 0.2500 0.9326 x2
Ni1 0.3603 0.7500 0.7140 x2
Ru1 0.3685 0.7500 0.2200 x2

The calculation puts the spin magnetization at 0.000 μB per atom. The value obtained for the calculated formation energy is -0.2511 eV/atom. The final energy is -6.3993 eV/atom. Its theoretical density is 8.19 Mg/m³.



# 2
NdNiRu after structural relaxation. Source: the Alexandria database, functional PBE-GGA.

a b c (Å): 5.1316 5.3244 7.7444
angles (deg): 90.00 90.00 90.00
Space group Imma (No. 74)
Inequivalent atoms, fractional coordinates:
Nd1 0.0000 0.2500 0.1214 x4
Ni1 0.0000 0.0000 0.5000 x4
Ru1 0.2500 0.2500 0.7500 x4

The calculation puts the spin magnetization at 0.000 μB per atom. The value obtained for the calculated formation energy is -0.2528 eV/atom. The final energy is -6.8611 eV/atom. Its theoretical density is 9.54 Mg/m³.



# 3
Nd3Ni7Ru2 after structural relaxation. Source: the Alexandria database, functional PBE-GGA.

a b c (Å): 5.0787 5.0787 25.4050
angles (deg): 90.00 90.00 120.00
Space group R-3m (No. 166, hexagonal axes)
Inequivalent atoms, fractional coordinates:
Nd1 0.0000 0.0000 0.0000 x3
Nd2 0.0000 0.0000 0.1382 x6
Ni1 0.0000 0.0000 0.5000 x3
Ni2 0.0009 0.5005 0.0825 x18
Ru1 0.0000 0.0000 0.3323 x6

The calculation puts the spin magnetization at 0.000 μB per atom. The value obtained for the calculated formation energy is -0.2299 eV/atom. The final energy is -6.3402 eV/atom. Its theoretical density is 9.18 Mg/m³.



# 4
Nd8NiRu2 after structural relaxation. Source: the Alexandria database, functional PBE-GGA.

a b c (Å): 17.9851 5.0349 6.9625
angles (deg): 90.00 105.41 90.00
Space group C2/m (No. 12)
Inequivalent atoms, fractional coordinates:
Nd1 0.0331 0.0000 0.2899 x4
Nd2 0.0938 0.5000 0.9536 x4
Nd3 0.1687 0.5000 0.4698 x4
Nd4 0.2038 0.0000 0.8187 x4
Ni1 0.0000 0.5000 0.5000 x2
Ru1 0.1875 0.0000 0.2105 x4

The calculation puts the spin magnetization at 0.000 μB per atom. The value obtained for the calculated formation energy is -0.1107 eV/atom. The final energy is -5.7904 eV/atom. Its theoretical density is 7.73 Mg/m³.



# 5
Nd3NiRu after structural relaxation. Source: the Alexandria database, functional PBE-GGA.

a b c (Å): 6.4844 4.0392 9.6730
angles (deg): 90.00 90.04 90.00
Space group P2_1/m (No. 11)
Inequivalent atoms, fractional coordinates:
Nd1 0.2391 0.2500 0.0577 x2
Nd2 0.2393 0.2500 0.4423 x2
Nd3 0.2557 0.7500 0.7500 x2
Ni1 0.4423 0.7500 0.2504 x2
Ru1 0.0584 0.7500 0.2498 x2

The calculation puts the spin magnetization at 0.000 μB per atom. The value obtained for the calculated formation energy is -0.1930 eV/atom. The final energy is -6.0652 eV/atom. Its theoretical density is 7.77 Mg/m³.



# 6
Nd2Ni3Sb4Ru after structural relaxation. Source: the Alexandria database, functional PBE-GGA.

a b c (Å): 4.4911 4.4911 10.1663
angles (deg): 90.00 90.00 90.00
Space group P-4m2 (No. 115)
Inequivalent atoms, fractional coordinates:
Nd1 0.0000 0.5000 0.2449 x2
Ni1 0.0000 0.0000 0.0000 x1
Ni2 0.0000 0.5000 0.6211 x2
Sb1 0.0000 0.0000 0.5000 x1
Sb2 0.0000 0.5000 0.8668 x2
Sb3 0.5000 0.5000 0.5000 x1
Ru1 0.5000 0.5000 0.0000 x1

The calculation puts the spin magnetization at 0.000 μB per atom. The final energy is -5.8431 eV/atom. As for the formation energy without anion corrections: -0.58 eV/atom. Its theoretical density is 8.52 Mg/m³.



# 7
NdSmNiRu after structural relaxation. Source: the Alexandria database, functional PBE-GGA.

a b c (Å): 4.0861 4.0569 10.8017
angles (deg): 90.00 90.00 90.00
Space group Amm2 (No. 38)
Inequivalent atoms, fractional coordinates:
Nd1 0.0000 0.0000 0.0000 x2
Sm1 0.5000 0.0000 0.2855 x2
Ni1 0.5000 0.0000 0.5776 x2
Ru1 0.0000 0.0000 0.7134 x2

The calculation puts the spin magnetization at 0.000 μB per atom. The value obtained for the calculated formation energy is -0.2597 eV/atom. The final energy is -6.3958 eV/atom. Its theoretical density is 8.43 Mg/m³.



# 8
NdNiSn3Ru after structural relaxation. Source: the Alexandria database, functional PBE-GGA.

a b c (Å): 6.5201 11.8024 7.2287
angles (deg): 90.00 90.00 90.00
Space group Cmcm (No. 63)
Inequivalent atoms, fractional coordinates:
Nd1 0.0000 0.2301 0.2500 x4
Ni1 0.0000 0.4640 0.2500 x4
Sn1 0.0000 0.3162 0.7500 x4
Sn2 0.2362 0.0000 0.0000 x8
Ru1 0.0000 0.1006 0.7500 x4

The calculation puts the spin magnetization at 0.000 μB per atom. The value obtained for the calculated formation energy is -0.1758 eV/atom. The final energy is -5.4814 eV/atom. Its theoretical density is 7.88 Mg/m³.